Record 1
Below is a relaxed structure of Ti4Al5, with properties calculated at the PBE-GGA level.

E above lowest polymorph   0 meV/atom
Energy relative to the elements   -0.361 eV per atom

Structure (POSCAR):
```
Ti4Al5
1.0
3.8356 0.0000 0.0000
1.9178 6.1662 0.0000
1.9178 0.0000 6.1662
Ti Al
4 5
Direct
0.5000 0.3218 0.6782
0.1782 0.3218 0.3218
0.5000 0.6782 0.3218
0.8218 0.6782 0.6782
0.8302 0.3396 0.0000
0.5000 0.0000 0.0000
0.1698 0.0000 0.6604
0.1698 0.6604 0.0000
0.8302 0.0000 0.3396
```

Record 2
Below is a relaxed structure of Ti3Al5, with properties calculated at the PBE-GGA level.

Energy relative to the elements   -0.353 eV per atom

Structure (POSCAR):
```
Ti3Al5
1.0
-1.5267 4.9247 1.8197
-4.7446 -2.2754 -1.4852
-0.9637 -3.3104 8.1505
Ti Al
6 10
Direct
0.2116 0.7884 0.0000
0.6097 0.6097 0.7500
0.7884 0.2116 0.5000
0.7884 0.2116 0.0000
0.2116 0.7884 0.5000
0.3903 0.3903 0.2500
0.5013 0.0654 0.7500
0.6932 0.6932 0.0417
0.6932 0.6932 0.4583
0.3068 0.3068 0.9583
0.3068 0.3068 0.5417
0.0654 0.5013 0.7500
0.9955 0.9955 0.7500
0.9346 0.4987 0.2500
0.0045 0.0045 0.2500
0.4987 0.9346 0.2500
```

Record 3
Below is a relaxed structure of TiAl2, with properties calculated at the PBE-GGA level.

Energy relative to the elements   -0.220 eV per atom

Structure (POSCAR):
```
TiAl2
1.0
-2.6924 2.6348 1.3929
-1.8949 -3.7323 3.3971
5.9501 2.7362 6.3252
Ti Al
4 8
Direct
0.7500 0.7490 0.9170
0.2500 0.2510 0.0830
0.7500 0.2490 0.5830
0.2500 0.7510 0.4170
0.7500 0.5012 0.2496
0.7500 0.2489 0.8876
0.7500 0.7489 0.6124
0.2500 0.9988 0.7496
0.2500 0.2511 0.3876
0.7500 0.0012 0.2504
0.2500 0.4988 0.7504
0.2500 0.7511 0.1124
```

Which of these has the highest energy relative to the elements?
TiAl2

Among the records above, which one has the lowest energy relative to the elements?
Ti4Al5

What is the formula in the third record?
TiAl2

What is the formula in the first record?
Ti4Al5